No. 1
Compound: HoNiRh2
Source: Alexandria via LeMat-Bulk
Functional: PBE
Structure: optimized geometry

Summary:
M_tot = 0.24 μB/atom
Symmetry = No. 225
Calculated formation energy = -1.3 eV/f.u.

Lattice parameters (Å, degrees): 4.495 4.495 4.496 60.01 60.01 60.00
Last column: magnetic moment on the atom in μB.
Positions (direct):
Ho 0.000 0.000 0.000  -0.06
Rh 0.250 0.250 0.250  0.25
Rh 0.750 0.750 0.750  0.25
Ni 0.500 0.500 0.500  0.58

No. 2
Compound: Ho3NiRh
Source: Alexandria via LeMat-Bulk
Functional: PBE
Structure: optimized geometry

Summary:
M_tot = 0.00 μB/atom
Symmetry = No. 14
Calculated formation energy = -2.7 eV/f.u.

Lattice parameters (Å, degrees): 6.202 9.880 8.060 113.77 90.00 90.00
Positions (direct):
Ni 0.684 0.040 0.524
Ni 0.316 0.960 0.476
Ni 0.184 0.460 0.476
Ni 0.816 0.540 0.524
Ho 0.985 0.321 0.670
Ho 0.496 0.496 0.720
Ho 0.485 0.179 0.330
Ho 0.515 0.821 0.670
Ho 0.502 0.798 0.141
Ho 0.998 0.298 0.141
Ho 0.015 0.679 0.330
Ho 0.004 0.996 0.720
Ho 0.498 0.202 0.859
Ho 0.504 0.504 0.280
Ho 0.996 0.004 0.280
Ho 0.002 0.702 0.859
Rh 0.265 0.997 0.999
Rh 0.765 0.503 0.001
Rh 0.735 0.003 0.001
Rh 0.235 0.497 0.999

No. 3
Compound: Ho6Ni2Rh
Source: Alexandria via LeMat-Bulk
Functional: PBE
Structure: optimized geometry

Summary:
M_tot = 0.00 μB/atom
Symmetry = No. 71
Calculated formation energy = -3.8 eV/f.u.

Lattice parameters (Å, degrees): 8.164 8.164 8.164 109.15 109.71 109.56
Positions (direct):
Ni 0.337 0.000 0.337
Ni 0.500 0.620 0.120
Ni 0.500 0.380 0.880
Ni 0.663 0.000 0.663
Rh 0.000 0.000 0.000
Rh 0.000 0.500 0.500
Ho 0.690 0.363 0.672
Ho 0.310 0.637 0.328
Ho 0.310 0.982 0.672
Ho 0.185 0.742 0.927
Ho 0.563 0.738 0.825
Ho 0.437 0.262 0.175
Ho 0.913 0.738 0.175
Ho 0.690 0.018 0.328
Ho 0.815 0.258 0.073
Ho 0.185 0.258 0.443
Ho 0.815 0.742 0.557
Ho 0.087 0.262 0.825

No. 4
Compound: Ho4NiRh3
Source: Alexandria via LeMat-Bulk
Functional: PBE
Structure: optimized geometry

Summary:
M_tot = 0.00 μB/atom
Symmetry = No. 47
Calculated formation energy = -6.3 eV/f.u.

Lattice parameters (Å, degrees): 3.357 4.844 9.684 90.00 90.00 90.00
Positions (direct):
Ni 0.500 0.500 0.000
Rh 0.500 0.000 0.750
Rh 0.500 0.500 0.500
Rh 0.500 0.000 0.250
Ho 0.000 0.000 0.000
Ho 0.000 0.500 0.247
Ho 0.000 0.500 0.753
Ho 0.000 0.000 0.500

No. 5
Compound: Ho3NiRh8
Source: Alexandria via LeMat-Bulk
Functional: PBE
Structure: optimized geometry

Summary:
M_tot = 0.08 μB/atom
Symmetry = No. 160
Calculated formation energy = -6.0 eV/f.u.

Lattice parameters (Å, degrees): 5.269 5.269 9.166 73.30 73.30 60.00
Last column: magnetic moment on the atom in μB.
Positions (direct):
Rh 0.560 0.059 0.321  0.12
Rh 0.810 0.810 0.571  0.02
Rh 0.059 0.059 0.321  0.12
Rh 0.060 0.561 0.817  0.02
Rh 0.310 0.310 0.069  0.02
Rh 0.059 0.560 0.321  0.12
Rh 0.561 0.060 0.817  0.02
Rh 0.561 0.561 0.817  0.02
Ho 0.492 0.492 0.525  -0.03
Ho 0.623 0.623 0.132  -0.03
Ho 0.011 0.011 0.967  -0.02
Ni 0.142 0.142 0.574  0.59

No. 6
Compound: HoNiRh3
Source: Alexandria via LeMat-Bulk
Functional: PBE
Structure: optimized geometry

Summary:
M_tot = 0.00 μB/atom
Symmetry = No. 63
Calculated formation energy = 1.2 eV/f.u.

Lattice parameters (Å, degrees): 4.713 6.866 6.866 119.66 90.00 90.00
Positions (direct):
Rh 0.750 0.401 0.958
Rh 0.750 0.042 0.599
Rh 0.250 0.599 0.042
Rh 0.500 0.000 0.000
Rh 0.250 0.958 0.401
Rh 0.000 0.000 0.000
Ni 0.250 0.179 0.821
Ni 0.750 0.821 0.179
Ho 0.250 0.395 0.605
Ho 0.750 0.605 0.395

No. 7
Compound: Ho5Ni2Rh
Source: Alexandria via LeMat-Bulk
Functional: PBE
Structure: optimized geometry

Summary:
M_tot = 0.00 μB/atom
Symmetry = No. 140
Calculated formation energy = -3.8 eV/f.u.

Lattice parameters (Å, degrees): 7.059 7.059 8.772 113.73 113.73 90.00
Positions (direct):
Ho 0.500 0.500 0.000
Ho 0.028 0.528 0.710
Ho 0.972 0.472 0.290
Ho 0.682 0.182 0.710
Ho 0.000 0.000 0.000
Ho 0.472 0.318 0.290
Ho 0.528 0.682 0.710
Ho 0.182 0.028 0.710
Ho 0.818 0.972 0.290
Ho 0.318 0.818 0.290
Ni 0.378 0.878 0.000
Ni 0.122 0.378 0.000
Ni 0.878 0.622 0.000
Ni 0.622 0.122 0.000
Rh 0.750 0.750 0.500
Rh 0.250 0.250 0.500

No. 8
Compound: HoNiRh2
Source: Alexandria via LeMat-Bulk
Functional: PBE
Structure: optimized geometry

Summary:
M_tot = 0.00 μB/atom
Symmetry = No. 13
Calculated formation energy = -0.5 eV/f.u.

Lattice parameters (Å, degrees): 7.757 9.233 6.670 90.00 90.00 40.83
Positions (direct):
Ni 0.500 0.750 0.637
Ni 0.500 0.250 0.363
Ni 0.000 0.250 0.194
Ni 0.000 0.750 0.806
Ho 0.500 0.250 0.782
Ho 0.500 0.750 0.218
Ho 0.000 0.750 0.277
Ho 0.000 0.250 0.723
Rh 0.398 0.627 0.863
Rh 0.602 0.873 0.863
Rh 0.398 0.127 0.137
Rh 0.000 0.500 0.000
Rh 0.500 0.000 0.500
Rh 0.500 0.500 0.500
Rh 0.602 0.373 0.137
Rh 0.000 0.000 0.000

No. 9
Compound: Ho4Ni2Rh
Source: Alexandria via LeMat-Bulk
Functional: PBE
Structure: optimized geometry

Summary:
M_tot = 0.00 μB/atom
Symmetry = No. 74
Calculated formation energy = -2.8 eV/f.u.

Lattice parameters (Å, degrees): 7.510 7.510 7.511 109.62 109.57 109.24
Positions (direct):
Ho 0.322 0.129 0.807
Ho 0.928 0.235 0.307
Ho 0.379 0.072 0.307
Ho 0.928 0.622 0.693
Ho 0.871 0.678 0.193
Ho 0.322 0.515 0.193
Ho 0.765 0.072 0.693
Ho 0.485 0.678 0.807
Rh 0.000 0.000 0.000
Rh 0.249 0.749 0.500
Ni 0.125 0.375 0.750
Ni 0.625 0.375 0.250
Ni 0.625 0.375 0.750
Ni 0.625 0.875 0.250

No. 10
Compound: Ho2Ni15Rh2
Source: Alexandria via LeMat-Bulk
Functional: PBE
Structure: optimized geometry

Summary:
M_tot = 0.44 μB/atom
Symmetry = No. 166
Calculated formation energy = -3.9 eV/f.u.

Lattice parameters (Å, degrees): 6.305 6.305 6.305 82.97 82.97 82.97
Last column: magnetic moment on the atom in μB.
Positions (direct):
Rh 0.104 0.104 0.104  0.56
Rh 0.896 0.896 0.896  0.56
Ni 0.159 0.653 0.653  0.54
Ni 0.702 0.298 0.000  0.49
Ni 0.000 0.000 0.500  0.56
Ni 0.500 0.000 0.000  0.56
Ni 0.000 0.500 0.000  0.56
Ni 0.000 0.298 0.702  0.49
Ni 0.653 0.159 0.653  0.54
Ni 0.841 0.347 0.347  0.54
Ni 0.347 0.347 0.841  0.54
Ni 0.702 0.000 0.298  0.49
Ni 0.298 0.702 0.000  0.49
Ni 0.000 0.702 0.298  0.49
Ni 0.298 0.000 0.702  0.49
Ni 0.653 0.653 0.159  0.54
Ni 0.347 0.841 0.347  0.54
Ho 0.658 0.658 0.658  -0.12
Ho 0.342 0.342 0.342  -0.12